# Sr2ZnTeSe

An optimized crystal structure of Sr2ZnTeSe (GGA-PBEsol, Alexandria via LeMat-Bulk).

Calculated values
- SG = P4/mmm, No. 123
- V (Å³/atom) = 33.59
- energy relative to the elements, uncorrected (eV/atom) = -0.54

Lattice parameters (Å, degrees): 4.827 5.899 5.899 90.00 90.00 90.00
Atoms (fractional coordinates):
1 Sr 0.000 0.000 0.500
2 Sr 0.000 0.500 0.000
3 Zn 0.000 0.000 0.000
4 Te 0.500 0.000 0.000
5 Se 0.500 0.500 0.500

***

# Sb2TePtSe

An optimized crystal structure of Sb2TePtSe (GGA-PBEsol, Alexandria via LeMat-Bulk).

Calculated values
- SG = P4/mmm, No. 123
- V (Å³/atom) = 28.40
- energy relative to the elements, uncorrected (eV/atom) = 1.10

Lattice parameters (Å, degrees): 5.306 5.174 5.174 90.00 90.00 90.00
Atoms (fractional coordinates):
1 Sb 0.000 0.000 0.500
2 Sb 0.000 0.500 0.000
3 Te 0.500 0.000 0.000
4 Se 0.000 0.000 0.000
5 Pt 0.500 0.500 0.500

***

# Zr3As

An optimized crystal structure of Zr3As (GGA-PBEsol, Alexandria via LeMat-Bulk).

Calculated values
- SG = Imm2, No. 44
- V (Å³/atom) = 20.32
- DFT formation energy (eV per atom) = -0.52

Lattice parameters (Å, degrees): 3.511 5.420 5.420 58.03 71.10 71.10
Atoms (fractional coordinates):
1 As 0.000 0.957 0.043
2 Zr 0.500 0.560 0.440
3 Zr 0.715 0.943 0.627
4 Zr 0.285 0.373 0.057

***

# Y3TlC

An optimized crystal structure of Y3TlC (GGA-PBEsol, Alexandria via LeMat-Bulk).

Calculated values
- SG = Pm-3m, No. 221
- V (Å³/atom) = 22.97
- DFT formation energy (eV per atom) = -0.56

Lattice parameters (Å, degrees): 4.861 4.861 4.861 90.00 90.00 90.00
Atoms (fractional coordinates):
1 Y 0.500 0.500 0.000
2 Y 0.000 0.500 0.500
3 Y 0.500 0.000 0.500
4 Tl 0.000 0.000 0.000
5 C 0.500 0.500 0.500

***

# Ca4MgW

An optimized crystal structure of Ca4MgW (GGA-PBEsol, Alexandria via LeMat-Bulk).

Calculated values
- SG = F-43m, No. 216
- V (Å³/atom) = 29.64
- DFT formation energy (eV per atom) = 1.08

Lattice parameters (Å, degrees): 6.312 6.312 6.312 60.00 60.00 60.00
Site moments in Bohr magnetons follow the coordinates.
Atoms (fractional coordinates):
1 Ca 0.374 0.374 0.374  0.04
2 Ca 0.374 0.374 0.877  0.04
3 Ca 0.877 0.374 0.374  0.04
4 Ca 0.374 0.877 0.374  0.04
5 Mg 0.750 0.750 0.750  -0.01
6 W 0.000 0.000 0.000  2.40

***

# YGa3Bi

An optimized crystal structure of YGa3Bi (GGA-PBEsol, Alexandria via LeMat-Bulk).

Calculated values
- SG = Pm-3m, No. 221
- V (Å³/atom) = 30.52
- DFT formation energy (eV per atom) = 0.62

Lattice parameters (Å, degrees): 5.344 5.344 5.344 90.00 90.00 90.00
Atoms (fractional coordinates):
1 Y 0.500 0.500 0.500
2 Bi 0.000 0.000 0.000
3 Ga 0.000 0.500 0.000
4 Ga 0.000 0.000 0.500
5 Ga 0.500 0.000 0.000

***

# BeTlS3

An optimized crystal structure of BeTlS3 (GGA-PBEsol, Alexandria via LeMat-Bulk).

Calculated values
- SG = Pm-3m, No. 221
- V (Å³/atom) = 24.91
- energy relative to the elements, uncorrected (eV/atom) = 1.23

Lattice parameters (Å, degrees): 4.994 4.994 4.994 90.00 90.00 90.00
Atoms (fractional coordinates):
1 Be 0.500 0.500 0.500
2 Tl 0.000 0.000 0.000
3 S 0.000 0.500 0.000
4 S 0.000 0.000 0.500
5 S 0.500 0.000 0.000

***

# NdCdPd

An optimized crystal structure of NdCdPd (GGA-PBEsol, Alexandria via LeMat-Bulk).

Calculated values
- SG = P-62m, No. 189
- V (Å³/atom) = 22.06
- DFT formation energy (eV per atom) = -0.66

Lattice parameters (Å, degrees): 3.984 7.585 7.585 120.00 90.00 90.00
Atoms (fractional coordinates):
1 Nd 0.500 0.000 0.406
2 Nd 0.500 0.594 0.594
3 Nd 0.500 0.406 0.000
4 Pd 0.000 0.667 0.333
5 Pd 0.000 0.333 0.667
6 Pd 0.500 0.000 0.000
7 Cd 0.000 0.000 0.747
8 Cd 0.000 0.747 0.000
9 Cd 0.000 0.253 0.253

***

# BaSNF2

An optimized crystal structure of BaSNF2 (GGA-PBEsol, Alexandria via LeMat-Bulk).

Calculated values
- SG = P4/mmm, No. 123
- V (Å³/atom) = 28.88
- energy relative to the elements, uncorrected (eV/atom) = -0.35

Lattice parameters (Å, degrees): 4.937 4.937 5.923 90.00 90.00 90.00
Site moments in Bohr magnetons follow the coordinates.
Atoms (fractional coordinates):
1 S 0.500 0.500 0.500  1.23
2 N 0.000 0.000 0.500  1.82
3 Ba 0.000 0.000 0.000  0.03
4 F 0.000 0.500 0.000  0.06
5 F 0.500 0.000 0.000  0.06

***

# B3PbI

An optimized crystal structure of B3PbI (GGA-PBEsol, Alexandria via LeMat-Bulk).

Calculated values
- SG = Pm-3m, No. 221
- V (Å³/atom) = 17.72
- energy relative to the elements, uncorrected (eV/atom) = 2.32

Lattice parameters (Å, degrees): 4.458 4.458 4.458 90.00 90.00 90.00
Atoms (fractional coordinates):
1 Pb 0.500 0.500 0.500
2 I 0.000 0.000 0.000
3 B 0.000 0.500 0.000
4 B 0.000 0.000 0.500
5 B 0.500 0.000 0.000

***

# MnCdF2

An optimized crystal structure of MnCdF2 (GGA-PBEsol, Alexandria via LeMat-Bulk).

Calculated values
- SG = Fm-3m, No. 225
- V (Å³/atom) = 13.65
- energy relative to the elements, uncorrected (eV/atom) = -0.91

Lattice parameters (Å, degrees): 4.259 4.259 4.259 60.00 60.00 60.00
Site moments in Bohr magnetons follow the coordinates.
Atoms (fractional coordinates):
1 F 0.250 0.250 0.250  0.03
2 F 0.750 0.750 0.750  0.03
3 Mn 0.000 0.000 0.000  4.19
4 Cd 0.500 0.500 0.500  -0.06

***

# Gd2P4O13

An optimized crystal structure of Gd2P4O13 (GGA-PBEsol, Alexandria via LeMat-Bulk).

Calculated values
- SG = C2/c, No. 15
- V (Å³/atom) = 13.23
- energy relative to the elements, uncorrected (eV/atom) = -2.67

Lattice parameters (Å, degrees): 6.800 6.838 12.990 104.16 90.00 119.82
Site moments in Bohr magnetons follow the coordinates.
Atoms (fractional coordinates):
1 Gd 0.314 0.621 0.451  6.90
2 Gd 0.693 0.379 0.049  6.90
3 Gd 0.307 0.621 0.951  6.90
4 Gd 0.686 0.379 0.549  6.90
5 P 0.167 0.020 0.365  0.00
6 P 0.853 0.020 0.865  0.00
7 P 0.774 0.525 0.339  0.00
8 P 0.249 0.475 0.161  0.00
9 P 0.751 0.525 0.839  0.00
10 P 0.226 0.475 0.661  0.00
11 P 0.147 0.980 0.135  0.00
12 P 0.833 0.980 0.635  0.00
13 O 0.331 0.006 0.440  0.00
14 O 0.130 0.223 0.398  0.00
15 O 0.676 0.006 0.940  0.00
16 O 0.119 0.202 0.156  0.00
17 O 0.921 0.473 0.404  0.00
18 O 0.578 0.498 0.403  0.00
19 O 0.702 0.389 0.222  0.00
20 O 0.092 0.223 0.898  0.00
21 O 0.082 0.202 0.656  0.00
22 O 0.313 0.611 0.278  0.00
23 O 0.079 0.502 0.097  0.00
24 O 0.448 0.527 0.096  0.00
25 O 0.552 0.473 0.904  0.00
26 O 0.921 0.498 0.903  0.00
27 O 0.687 0.389 0.722  0.00
28 O 0.918 0.798 0.344  0.00
29 O 0.908 0.777 0.102  0.00
30 O 0.298 0.611 0.778  0.00
31 O 0.422 0.502 0.597  0.00
32 O 0.079 0.527 0.596  0.00
33 O 0.253 0.000 0.250  0.00
34 O 0.881 0.798 0.844  0.00
35 O 0.324 0.994 0.060  0.00
36 O 0.870 0.777 0.602  0.00
37 O 0.747 0.000 0.750  0.00
38 O 0.669 0.994 0.560  0.00

***

# LaCu2AsN

An optimized crystal structure of LaCu2AsN (GGA-PBEsol, Alexandria via LeMat-Bulk).

Calculated values
- SG = P4/mmm, No. 123
- V (Å³/atom) = 21.25
- energy relative to the elements, uncorrected (eV/atom) = 1.16

Lattice parameters (Å, degrees): 3.950 5.186 5.186 90.00 90.00 90.00
Atoms (fractional coordinates):
1 As 0.500 0.500 0.500
2 N 0.500 0.000 0.000
3 Cu 0.000 0.000 0.500
4 Cu 0.000 0.500 0.000
5 La 0.000 0.000 0.000

***

# ZnCd2Ag

An optimized crystal structure of ZnCd2Ag (GGA-PBEsol, Alexandria via LeMat-Bulk).

Calculated values
- SG = Pmm2, No. 25
- V (Å³/atom) = 17.79
- DFT formation energy (eV per atom) = 0.01

Lattice parameters (Å, degrees): 3.058 4.018 5.793 90.00 90.00 90.00
Atoms (fractional coordinates):
1 Zn 0.000 0.000 0.510
2 Ag 0.500 0.500 0.740
3 Cd 0.000 0.000 0.990
4 Cd 0.500 0.500 0.259

***

# LaMoSe2

An optimized crystal structure of LaMoSe2 (GGA-PBEsol, Alexandria via LeMat-Bulk).

Calculated values
- SG = P4mm, No. 99
- V (Å³/atom) = 23.50
- energy relative to the elements, uncorrected (eV/atom) = -0.59

Lattice parameters (Å, degrees): 4.049 4.049 5.734 90.00 90.00 90.00
Site moments in Bohr magnetons follow the coordinates.
Atoms (fractional coordinates):
1 La 0.000 0.000 0.399  0.03
2 Mo 0.500 0.500 0.852  2.81
3 Se 0.000 0.000 0.891  0.02
4 Se 0.500 0.500 0.358  0.01

***

# YEr3

An optimized crystal structure of YEr3 (GGA-PBEsol, Alexandria via LeMat-Bulk).

Calculated values
- SG = P6_3/mmc, No. 194
- V (Å³/atom) = 29.66
- DFT formation energy (eV per atom) = 0.01

Lattice parameters (Å, degrees): 5.488 7.066 7.066 120.00 90.00 90.00
Atoms (fractional coordinates):
1 Y 0.750 0.333 0.667
2 Y 0.250 0.667 0.333
3 Er 0.250 0.668 0.834
4 Er 0.250 0.166 0.332
5 Er 0.250 0.166 0.834
6 Er 0.750 0.332 0.166
7 Er 0.750 0.834 0.668
8 Er 0.750 0.834 0.166

***

# LiSbTe4

An optimized crystal structure of LiSbTe4 (GGA-PBEsol, Alexandria via LeMat-Bulk).

Calculated values
- SG = F-43m, No. 216
- V (Å³/atom) = 29.36
- energy relative to the elements, uncorrected (eV/atom) = 0.27

Lattice parameters (Å, degrees): 6.292 6.292 6.292 60.00 60.00 60.00
Atoms (fractional coordinates):
1 Li 0.750 0.750 0.750
2 Sb 0.000 0.000 0.000
3 Te 0.375 0.375 0.375
4 Te 0.375 0.375 0.876
5 Te 0.876 0.375 0.375
6 Te 0.375 0.876 0.375

***

# CsSn3O

An optimized crystal structure of CsSn3O (GGA-PBEsol, Alexandria via LeMat-Bulk).

Calculated values
- SG = Pm-3m, No. 221
- V (Å³/atom) = 45.35
- energy relative to the elements, uncorrected (eV/atom) = 1.90

Lattice parameters (Å, degrees): 6.098 6.098 6.098 90.00 90.00 90.00
Site moments in Bohr magnetons follow the coordinates.
Atoms (fractional coordinates):
1 Cs 0.000 0.000 0.000  0.04
2 Sn 0.000 0.500 0.000  0.08
3 Sn 0.000 0.000 0.500  0.08
4 Sn 0.500 0.000 0.000  0.08
5 O 0.500 0.500 0.500  1.20

***

# TaSiNi6

An optimized crystal structure of TaSiNi6 (GGA-PBEsol, Alexandria via LeMat-Bulk).

Calculated values
- SG = Cmmm, No. 65
- V (Å³/atom) = 11.16
- energy relative to the elements, uncorrected (eV/atom) = -0.42

Lattice parameters (Å, degrees): 6.149 6.149 10.043 90.00 90.00 109.90
Atoms (fractional coordinates):
1 Ni 0.248 0.752 0.745
2 Ni 0.880 0.633 0.871
3 Ni 0.120 0.367 0.871
4 Ni 0.752 0.248 0.745
5 Ni 0.367 0.120 0.871
6 Ni 0.633 0.880 0.871
7 Ni 0.500 0.500 0.500
8 Ni 0.119 0.371 0.622
9 Ni 0.371 0.119 0.622
10 Ni 0.248 0.752 0.255
11 Ni 0.881 0.629 0.378
12 Ni 0.119 0.371 0.378
13 Ni 0.752 0.248 0.255
14 Ni 0.371 0.119 0.378
15 Ni 0.629 0.881 0.378
16 Ni 0.500 0.500 0.000
17 Ni 0.120 0.367 0.129
18 Ni 0.367 0.120 0.129
19 Ni 0.000 0.000 0.500
20 Ni 0.629 0.881 0.622
21 Ni 0.881 0.629 0.622
22 Ni 0.000 0.000 0.000
23 Ni 0.633 0.880 0.129
24 Ni 0.880 0.633 0.129
25 Si 0.259 0.741 0.500
26 Si 0.741 0.259 0.500
27 Si 0.000 0.000 0.743
28 Si 0.000 0.000 0.257
29 Ta 0.257 0.743 0.000
30 Ta 0.743 0.257 0.000
31 Ta 0.500 0.500 0.745
32 Ta 0.500 0.500 0.255

***

# AlRu2Rh

An optimized crystal structure of AlRu2Rh (GGA-PBEsol, Alexandria via LeMat-Bulk).

Calculated values
- SG = I4/mmm, No. 139
- V (Å³/atom) = 13.43
- DFT formation energy (eV per atom) = -0.22

Lattice parameters (Å, degrees): 3.731 3.731 4.676 113.52 113.52 90.00
Atoms (fractional coordinates):
1 Ru 0.750 0.250 0.500
2 Ru 0.250 0.750 0.500
3 Rh 0.000 0.000 0.000
4 Al 0.500 0.500 0.000

***

# Dy2Ni7

An optimized crystal structure of Dy2Ni7 (GGA-PBEsol, Alexandria via LeMat-Bulk).

Calculated values
- SG = R-3m, No. 166
- V (Å³/atom) = 13.41
- DFT formation energy (eV per atom) = -0.40

Lattice parameters (Å, degrees): 4.845 4.845 12.195 78.54 78.54 60.00
Site moments in Bohr magnetons follow the coordinates.
Atoms (fractional coordinates):
1 Dy 0.949 0.949 0.152  -0.05
2 Dy 0.853 0.853 0.442  -0.04
3 Dy 0.147 0.147 0.558  -0.04
4 Dy 0.051 0.051 0.848  -0.05
5 Ni 0.500 0.500 0.000  0.29
6 Ni 0.500 0.000 0.000  0.29
7 Ni 0.000 0.500 0.000  0.29
8 Ni 0.612 0.612 0.165  0.20
9 Ni 0.278 0.278 0.165  0.18
10 Ni 0.390 0.390 0.329  0.13
11 Ni 0.891 0.390 0.329  0.13
12 Ni 0.390 0.891 0.329  0.13
13 Ni 0.500 0.500 0.500  0.06
14 Ni 0.610 0.109 0.671  0.13
15 Ni 0.109 0.610 0.671  0.13
16 Ni 0.610 0.610 0.671  0.13
17 Ni 0.722 0.722 0.835  0.18
18 Ni 0.388 0.388 0.835  0.20

***

# Hf3AuC

An optimized crystal structure of Hf3AuC (GGA-PBEsol, Alexandria via LeMat-Bulk).

Calculated values
- SG = Pm-3m, No. 221
- V (Å³/atom) = 17.13
- DFT formation energy (eV per atom) = -0.64

Lattice parameters (Å, degrees): 4.408 4.408 4.408 90.00 90.00 90.00
Atoms (fractional coordinates):
1 Au 0.500 0.500 0.500
2 C 0.000 0.000 0.000
3 Hf 0.000 0.500 0.000
4 Hf 0.000 0.000 0.500
5 Hf 0.500 0.000 0.000

***

# Cd2CuOs

An optimized crystal structure of Cd2CuOs (GGA-PBEsol, Alexandria via LeMat-Bulk).

Calculated values
- SG = R-3m, No. 166
- V (Å³/atom) = 15.74
- DFT formation energy (eV per atom) = 0.40

Lattice parameters (Å, degrees): 2.829 2.829 9.233 81.19 81.19 60.00
Atoms (fractional coordinates):
1 Cd 0.253 0.253 0.241
2 Cd 0.747 0.747 0.759
3 Cu 0.000 0.000 0.000
4 Os 0.500 0.500 0.500

***

# WBr3

An optimized crystal structure of WBr3 (GGA-PBEsol, Alexandria via LeMat-Bulk).

Calculated values
- SG = Pm-3m, No. 221
- V (Å³/atom) = 21.81
- energy relative to the elements, uncorrected (eV/atom) = 1.28

Lattice parameters (Å, degrees): 4.435 4.435 4.435 90.00 90.00 90.00
Site moments in Bohr magnetons follow the coordinates.
Atoms (fractional coordinates):
1 Br 0.000 0.500 0.500  -0.11
2 Br 0.500 0.000 0.500  -0.11
3 Br 0.500 0.500 0.000  -0.11
4 W 0.000 0.000 0.000  2.64

***

# KLaZr2

An optimized crystal structure of KLaZr2 (GGA-PBEsol, Alexandria via LeMat-Bulk).

Calculated values
- SG = P2/m, No. 10
- V (Å³/atom) = 27.37
- DFT formation energy (eV per atom) = 0.74

Lattice parameters (Å, degrees): 3.181 5.863 6.278 110.76 90.00 90.00
Atoms (fractional coordinates):
1 K 0.500 0.000 0.500
2 La 0.000 0.500 0.500
3 Zr 0.000 0.000 0.000
4 Zr 0.500 0.500 0.000